(1)
{
  "formula": "Sc2AsSe",
  "functional": "PBEsol",
  "state": "optimized geometry",
  "cell": [[3.821, 0.000, 0.000], [0.000, 3.821, 0.000], [0.000, 0.000, 5.392]],
  "species": ["Sc", "Sc", "As", "Se"],
  "fractional_positions": [[0.000, 0.000, 0.000], [0.500, 0.500, 0.500], [0.000, 0.000, 0.500], [0.500, 0.500, 0.000]],
  "crystal_system": "tetragonal",
  "sg": "P4/mmm (123)",
  "de_polymorph_ev_per_atom": 0.007,
  "formation_energy_uncorrected_ev_per_fu": -6.36
}

***

(2)
{
  "formula": "YHgW2",
  "functional": "PBEsol",
  "state": "optimized geometry",
  "cell": [[4.017, 0.000, 0.000], [0.000, 4.017, 0.000], [-2.008, -2.008, 4.743]],
  "species": ["Y", "W", "W", "Hg"],
  "fractional_positions": [[0.500, 0.500, 0.000], [0.750, 0.250, 0.500], [0.250, 0.750, 0.500], [0.000, 0.000, 0.000]],
  "crystal_system": "tetragonal",
  "sg": "I4/mmm (139)",
  "e_form_kj_per_mol_atoms": 61.7
}

***

(3)
{
  "formula": "Y2AgAu",
  "functional": "PBEsol",
  "state": "optimized geometry",
  "cell": [[5.030, 0.000, 0.000], [2.515, 4.356, 0.000], [2.515, 1.452, 4.107]],
  "species": ["Y", "Y", "Au", "Ag"],
  "fractional_positions": [[0.250, 0.250, 0.250], [0.750, 0.750, 0.750], [0.000, 0.000, 0.000], [0.500, 0.500, 0.500]],
  "crystal_system": "cubic",
  "sg": "Fm-3m (225)",
  "e_form_kj_per_mol_atoms": -59.1
}

***

no.,size of the total moment (μB/f.u.),D(E_F) (states/eV/cell)
1,0.00,1.503
2,0.00,3.770
3,0.00,2.337